A plane-wave DFT calculation with meta-GGA SCAN was carried out for a crystal of Sr2CaTlCu2O7 relaxed with PBEsol.

## Properties
The electronic total energy is -225.23 eV for the cell shown. As for the space-group type: No. 123. As for the uncorrected formation energy: -24.6 eV/f.u. As for the density of states at the Fermi level: 2.03 states/eV/f.u.

Lattice parameters (Å, degrees): 3.7201 3.7201 12.0971 90.00 90.00 90.00
Fractional coordinates of all 13 atoms:
Sr 0.0000 0.0000 0.2091
Sr 0.0000 0.0000 0.7909
Ca 0.0000 0.0000 0.5000
Tl 0.5000 0.5000 0.0000
Cu 0.5000 0.5000 0.3571
Cu 0.5000 0.5000 0.6429
O 0.0000 0.0000 0.0000
O 0.0000 0.5000 0.3718
O 0.0000 0.5000 0.6282
O 0.5000 0.0000 0.3718
O 0.5000 0.0000 0.6282
O 0.5000 0.5000 0.1731
O 0.5000 0.5000 0.8269

A plane-wave DFT calculation with meta-GGA SCAN was carried out for a crystal of CaTiCuO2 relaxed with PBEsol.

## Properties
The electronic total energy is -54.05 eV for the cell shown. As for the space-group type: No. 123. As for the uncorrected formation energy: -0.7 eV/f.u. As for the density of states at the Fermi level: 2.42 states/eV/f.u.

Lattice parameters (Å, degrees): 4.1030 4.1030 4.3020 90.00 90.00 90.00
Fractional coordinates of all 5 atoms:
Ca 0.0000 0.0000 0.0000
Ti 0.5000 0.5000 0.0000
Cu 0.5000 0.5000 0.5000
O 0.0000 0.5000 0.5000
O 0.5000 0.0000 0.5000

A plane-wave DFT calculation with meta-GGA SCAN was carried out for a crystal of CaV2CuO7 relaxed with PBEsol.

## Properties
The electronic total energy is -783.65 eV for the cell shown. As for the space-group type: No. 13. As for the uncorrected formation energy: -27.1 eV/f.u.

Lattice parameters (Å, degrees): 10.0907 8.7939 10.1469 90.00 91.63 90.00
Fractional coordinates of all 66 atoms:
Ca 0.0000 0.0648 0.2500
Ca 0.0000 0.9352 0.7500
Ca 0.3217 0.4457 0.9329
Ca 0.3217 0.5543 0.4329
Ca 0.6783 0.4457 0.5671
Ca 0.6783 0.5543 0.0671
V 0.0236 0.2979 0.5407
V 0.0236 0.7021 0.0407
V 0.3350 0.2021 0.2118
V 0.3350 0.7979 0.7118
V 0.3357 0.2527 0.6169
V 0.3357 0.7473 0.1169
V 0.6643 0.2527 0.8831
V 0.6643 0.7473 0.3831
V 0.6650 0.2021 0.2882
V 0.6650 0.7979 0.7882
V 0.9764 0.2979 0.9593
V 0.9764 0.7021 0.4593
Cu 0.0000 0.4433 0.2500
Cu 0.0000 0.5567 0.7500
Cu 0.3047 0.0658 0.9097
Cu 0.3047 0.9342 0.4097
Cu 0.6953 0.0658 0.5903
Cu 0.6953 0.9342 0.0903
O 0.0084 0.1250 0.5992
O 0.0084 0.8750 0.0992
O 0.0209 0.2860 0.1239
O 0.0209 0.7140 0.6239
O 0.0790 0.4206 0.8772
O 0.0790 0.5794 0.3772
O 0.1923 0.3583 0.5585
O 0.1923 0.6417 0.0585
O 0.2300 0.0726 0.2833
O 0.2300 0.9274 0.7833
O 0.3074 0.2161 0.0439
O 0.3074 0.7839 0.5439
O 0.3099 0.3748 0.2698
O 0.3099 0.6252 0.7698
O 0.3266 0.2269 0.7849
O 0.3266 0.7731 0.2849
O 0.3462 0.0891 0.5330
O 0.3462 0.9109 0.0330
O 0.4531 0.3775 0.5751
O 0.4531 0.6225 0.0751
O 0.5000 0.1447 0.2500
O 0.5000 0.8553 0.7500
O 0.5469 0.3775 0.9249
O 0.5469 0.6225 0.4249
O 0.6538 0.0891 0.9670
O 0.6538 0.9109 0.4670
O 0.6734 0.2269 0.7151
O 0.6734 0.7731 0.2151
O 0.6901 0.3748 0.2302
O 0.6901 0.6252 0.7302
O 0.6926 0.2161 0.4561
O 0.6926 0.7839 0.9561
O 0.7700 0.0726 0.2167
O 0.7700 0.9274 0.7167
O 0.8077 0.3583 0.9415
O 0.8077 0.6417 0.4415
O 0.9210 0.4206 0.6228
O 0.9210 0.5794 0.1228
O 0.9791 0.2860 0.3761
O 0.9791 0.7140 0.8761
O 0.9916 0.1250 0.9008
O 0.9916 0.8750 0.4008

A plane-wave DFT calculation with meta-GGA SCAN was carried out for a crystal of CaCuOs2 relaxed with PBEsol.

## Properties
The formation enthalpy at 0 K comes out at 2.8 eV/f.u. The electronic total energy is -165.83 eV for the cell shown. As for the space-group type: No. 65. As for the density of states at the Fermi level: 3.09 states/eV/f.u. For the energy above the most stable polymorph in this dataset, the calculation gives 0 meV per atom.

Lattice parameters (Å, degrees): 5.2482 5.2482 2.5161 90.00 90.00 116.77
Fractional coordinates of all 4 atoms:
Ca 0.0000 0.0000 0.0000
Cu 0.5000 0.5000 0.0000
Os 0.0000 0.5000 0.5000
Os 0.5000 0.0000 0.5000

A plane-wave DFT calculation with meta-GGA SCAN was carried out for a crystal of CaCuOs2 relaxed with PBEsol.

## Properties
The formation enthalpy at 0 K comes out at 4.7 eV/f.u. The electronic total energy is -163.91 eV for the cell shown. As for the space-group type: No. 225. As for the density of states at the Fermi level: 4.52 states/eV/f.u. For the energy above the most stable polymorph in this dataset, the calculation gives 482 meV per atom.

Lattice parameters (Å, degrees): 4.4178 4.4178 4.4178 60.00 60.00 60.00
Fractional coordinates of all 4 atoms:
Ca 0.0000 0.0000 0.0000
Cu 0.5000 0.5000 0.5000
Os 0.2500 0.2500 0.2500
Os 0.7500 0.7500 0.7500

A plane-wave DFT calculation with meta-GGA SCAN was carried out for a crystal of CaCu2Os relaxed with PBEsol.

## Properties
The formation enthalpy at 0 K comes out at 2.2 eV/f.u. The electronic total energy is -109.73 eV for the cell shown. As for the space-group type: No. 119. As for the density of states at the Fermi level: 1.11 states/eV/f.u.

Lattice parameters (Å, degrees): 5.0012 5.0012 5.0012 135.56 135.56 64.66
Fractional coordinates of all 4 atoms:
Ca 0.0000 0.0000 0.0000
Cu 0.5000 0.5000 0.0000
Cu 0.7500 0.2500 0.5000
Os 0.2500 0.7500 0.5000

A plane-wave DFT calculation with meta-GGA SCAN was carried out for a crystal of CaCuP relaxed with PBEsol.

## Properties
The formation enthalpy at 0 K comes out at -2.9 eV/f.u. The electronic total energy is -76.34 eV for the cell shown. As for the space-group type: No. 194. As for the density of states at the Fermi level: 0.13 states/eV/f.u.

Lattice parameters (Å, degrees): 3.9796 3.9796 7.8093 90.00 90.00 120.00
Fractional coordinates of all 6 atoms:
Ca 0.0000 0.0000 0.0000
Ca 0.0000 0.0000 0.5000
Cu 0.3333 0.6667 0.2500
Cu 0.6667 0.3333 0.7500
P 0.3333 0.6667 0.7500
P 0.6667 0.3333 0.2500

A plane-wave DFT calculation with meta-GGA SCAN was carried out for a crystal of Ca4CuP relaxed with PBEsol.

## Properties
The formation enthalpy at 0 K comes out at 3.9 eV/f.u. The electronic total energy is -60.39 eV for the cell shown. As for the space-group type: No. 216. As for the density of states at the Fermi level: 4.45 states/eV/f.u.

Lattice parameters (Å, degrees): 6.2234 6.2234 6.2234 60.00 60.00 60.00
Fractional coordinates of all 6 atoms:
Ca 0.3759 0.3759 0.3759
Ca 0.3759 0.3759 0.8723
Ca 0.3759 0.8723 0.3759
Ca 0.8723 0.3759 0.3759
Cu 0.0000 0.0000 0.0000
P 0.7500 0.7500 0.7500

A plane-wave DFT calculation with meta-GGA SCAN was carried out for a crystal of Ca2CuP relaxed with PBEsol.

## Properties
The formation enthalpy at 0 K comes out at -3.0 eV/f.u. The electronic total energy is -47.93 eV for the cell shown. As for the space-group type: No. 38. As for the density of states at the Fermi level: 1.28 states/eV/f.u.

Lattice parameters (Å, degrees): 4.0207 5.6949 5.6949 41.66 90.00 90.00
Fractional coordinates of all 4 atoms:
Ca 0.0000 0.0000 0.0000
Ca 0.5000 0.2827 0.2827
Cu 0.5000 0.5859 0.5859
P 0.0000 0.7089 0.7089

A plane-wave DFT calculation with meta-GGA SCAN was carried out for a crystal of CaCu2P relaxed with PBEsol.

## Properties
The formation enthalpy at 0 K comes out at 0.3 eV/f.u. The electronic total energy is -50.20 eV for the cell shown. As for the space-group type: No. 123. As for the density of states at the Fermi level: 2.05 states/eV/f.u.

Lattice parameters (Å, degrees): 3.3554 3.3554 5.7737 90.00 90.00 90.00
Fractional coordinates of all 4 atoms:
Ca 0.0000 0.0000 0.0000
Cu 0.5000 0.5000 0.2965
Cu 0.5000 0.5000 0.7035
P 0.0000 0.0000 0.5000

A plane-wave DFT calculation with meta-GGA SCAN was carried out for a crystal of Ca2CuPb relaxed with PBEsol.

## Properties
The formation enthalpy at 0 K comes out at -0.8 eV/f.u. The electronic total energy is -111.08 eV for the cell shown. As for the space-group type: No. 119. As for the density of states at the Fermi level: 2.49 states/eV/f.u.

Lattice parameters (Å, degrees): 5.8589 5.8589 5.8589 134.70 134.70 66.00
Fractional coordinates of all 4 atoms:
Ca 0.0000 0.0000 0.0000
Ca 0.7500 0.2500 0.5000
Cu 0.2500 0.7500 0.5000
Pb 0.5000 0.5000 0.0000

A plane-wave DFT calculation with meta-GGA SCAN was carried out for a crystal of Ca2Cu2Pb relaxed with PBEsol.

## Properties
The formation enthalpy at 0 K comes out at -1.0 eV/f.u. The electronic total energy is -126.47 eV for the cell shown. As for the space-group type: No. 139. As for the density of states at the Fermi level: 0.30 states/eV/f.u.

Lattice parameters (Å, degrees): 5.4692 5.4692 5.4692 117.83 117.83 93.80
Fractional coordinates of all 5 atoms:
Ca 0.2500 0.7500 0.5000
Ca 0.7500 0.2500 0.5000
Cu 0.1498 0.1498 0.0000
Cu 0.8502 0.8502 0.0000
Pb 0.5000 0.5000 0.0000

Look up the electronic total energy of the fourth one.
-165.83 eV for the cell shown